Material: Cu3SnPd
Method: DFT, GGA-PBE
State: optimized geometry

Cell and atoms, written as POSCAR:
```
Cu3SnPd
1.0
-1.3641 4.1833 -1.5956
-2.5740 0.6321 3.8577
3.6634 2.0018 2.1164
Cu Sn Pd
3 1 1
Direct
0.0000 0.0000 0.5000
0.0000 0.5000 0.0000
0.5000 0.0000 0.0000
0.5000 0.5000 0.5000
0.0000 0.0000 0.0000
```

Values from the calculation:
Its formation energy is 0.647 eV per atom. The value obtained for the size of the total moment is 0.00 μB/cell. Its space group is Pm-3m (221). The value obtained for the density of states at the Fermi level is 0.37 states/eV per atom. As for the volume: 20.51 Å³/atom. The value obtained for the energy above the most stable polymorph in this dataset is 0.00 kcal/mol of atoms.